# Cs3V2Cl2F5, relaxed, DFT GGA+U
# VASP energy = -4.9363 eV/atom
# Density = 4.215 g/cm³
# Total magnetization = 6.0 μB per formula unit
data_Cs3V2Cl2F5
_chemical_formula_sum 'Cs3 V2 Cl2 F5'
_cell_length_a 13.0883
_cell_length_b 13.0883
_cell_length_c 13.0883
_cell_angle_alpha 159.98
_cell_angle_beta 159.98
_cell_angle_gamma 28.46
_symmetry_space_group_name_H-M 'P 1'
_symmetry_Int_Tables_number 1
loop_
_symmetry_equiv_pos_as_xyz
'x,y,z'
loop_
_atom_site_label
_atom_site_fract_x
_atom_site_fract_y
_atom_site_fract_z
_atom_site_occupancy
Cs1 0.0000 0.0000 0.0000 1
Cs2 0.1705 0.1705 0.0000 1
Cs3 0.8295 0.8295 0.0000 1
V1 0.4162 0.4162 0.0000 1
V2 0.5838 0.5838 0.0000 1
Cl1 0.3156 0.3156 0.0000 1
Cl2 0.6844 0.6844 0.0000 1
F1 0.0834 0.5834 0.5000 1
F2 0.4166 0.9166 0.5000 1
F3 0.5000 0.5000 0.0000 1
F4 0.5834 0.0834 0.5000 1
F5 0.9166 0.4166 0.5000 1